! GGA-PBE RbSr2Cd, relaxed; values from VASP
&SYSTEM
  ibrav = 0, nat = 4, ntyp = 3
/
ATOMIC_SPECIES
Sr 87.62 Sr.upf
Rb 85.47 Rb.upf
Cd 112.41 Cd.upf
ATOMIC_POSITIONS crystal
Sr 0.2764 0.2764 0.1708
Rb 0.5003 0.5003 0.4992
Cd 0.6665 0.6665 0.0006
Sr 0.0569 0.0569 0.8294
CELL_PARAMETERS angstrom
4.6014 0.0000 0.0000
2.3007 3.9849 0.0000
2.3007 1.3283 12.0821
! electronic total energy	-1.3425	eV per atom
! volume	55.38	Å³ per atom
! ΔH_f (0 K)	-0.124	eV/f.u.
! total magnetization	0.00	μB per formula unit